# 1
Compound: Hf2VSn
Source: Alexandria
Functional: PBE
Structure: relaxed

Its total DFT energy (no corrections) is -0.308 Ha/atom. The calculation puts the density of states at the Fermi level at 2.70 states/eV per cell.

The structure belongs to space group P4/mmm (No. 123); the cell edges are 4.462, 4.462 and 3.974 Å and the angles 90.00°, 90.00° and 90.00°. Symmetry generates all atoms from Hf at (0.000, 0.500, 0.000), V at (0.000, 0.000, 0.500) and Sn at (0.500, 0.500, 0.500).

=====

# 2
Compound: HfSnW
Source: Alexandria
Functional: PBE
Structure: relaxed

The relative energy among the computed polymorphs comes out at 0 meV per atom. The calculation puts the density of states at the Fermi level at 4.80 states/eV per cell.

The structure belongs to space group Immm (No. 71); the cell edges are 3.979, 4.269 and 14.402 Å and the angles 90.00°, 90.00° and 90.00°. Symmetry generates all atoms from Hf at (0.000, 0.000, 0.151), Sn at (0.000, 0.000, 0.357), W at (0.000, 0.500, 0.000) and W at (0.000, 0.500, 0.500).

=====

# 3
Compound: HfSnW
Source: Alexandria
Functional: PBE
Structure: relaxed

The relative energy among the computed polymorphs comes out at 30 meV per atom. The calculation puts the density of states at the Fermi level at 3.93 states/eV per cell.

The structure belongs to space group Pmmn (No. 59, origin choice 2); the cell edges are 3.489, 4.562 and 7.501 Å and the angles 90.00°, 90.00° and 90.00°. Symmetry generates all atoms from Hf at (0.250, 0.250, 0.168), Sn at (0.250, 0.250, 0.777) and W at (0.250, 0.750, 0.521).

=====

# 4
Compound: Hf3SnW
Source: Alexandria
Functional: PBE
Structure: relaxed

The relative energy among the computed polymorphs comes out at 916 meV per atom. The calculation puts the density of states at the Fermi level at 8.75 states/eV per cell.

The structure belongs to space group Pm-3m (No. 221); the cell edges are 5.059, 5.059 and 5.059 Å and the angles 90.00°, 90.00° and 90.00°. Symmetry generates all atoms from Hf at (0.000, 0.000, 0.500), Sn at (0.500, 0.500, 0.500) and W at (0.000, 0.000, 0.000).

=====

# 5
Compound: Hf2SnW
Source: Alexandria
Functional: PBE
Structure: relaxed

Its total DFT energy (no corrections) is -0.322 Ha/atom. The calculation puts the density of states at the Fermi level at 6.73 states/eV per cell.

The structure belongs to space group R-3m (No. 166, hexagonal axes); the cell edges are 3.0228, 3.0228 and 32.0377 Å and the angles 90.00°, 90.00° and 120.00°. Symmetry generates all atoms from Hf at (0.0000, 0.0000, 0.0849), Sn at (0.0000, 0.0000, 0.5000) and W at (0.0000, 0.0000, 0.0000).

=====

# 6
Compound: HfSnW
Source: Alexandria
Functional: PBE
Structure: relaxed

The relative energy among the computed polymorphs comes out at 75 meV per atom. The calculation puts the density of states at the Fermi level at 2.63 states/eV per cell.

The structure belongs to space group I4mm (No. 107); the cell edges are 3.563, 3.563 and 9.215 Å and the angles 90.00°, 90.00° and 90.00°. Symmetry generates all atoms from Hf at (0.000, 0.000, 0.000), Sn at (0.000, 0.000, 0.319) and W at (0.000, 0.000, 0.654).

=====

# 7
Compound: HfSn2W
Source: Alexandria
Functional: PBE
Structure: relaxed

The relative energy among the computed polymorphs comes out at 231 meV per atom. The calculation puts the density of states at the Fermi level at 10.84 states/eV per cell.

The structure belongs to space group I-42d (No. 122); the cell edges are 4.147, 4.147 and 20.653 Å and the angles 90.00°, 90.00° and 90.00°. Symmetry generates all atoms from Hf at (0.000, 0.000, 0.000), Sn at (0.247, 0.250, 0.625) and W at (0.000, 0.000, 0.500).

=====

# 8
Compound: Hf2SnW
Source: Alexandria
Functional: PBE
Structure: relaxed

Its total DFT energy (no corrections) is -0.317 Ha/atom. The calculation puts the density of states at the Fermi level at 19.70 states/eV per cell.

The structure belongs to space group I-42d (No. 122); the cell edges are 7.816, 7.816 and 5.752 Å and the angles 90.00°, 90.00° and 90.00°. Symmetry generates all atoms from Hf at (0.217, 0.250, 0.125), Sn at (0.000, 0.000, 0.500) and W at (0.000, 0.000, 0.000).

=====

# 9
Compound: HfSnW
Source: Alexandria
Functional: PBE
Structure: relaxed

The relative energy among the computed polymorphs comes out at 72 meV per atom. The calculation puts the density of states at the Fermi level at 3.76 states/eV per cell.

The structure belongs to space group C2/m (No. 12); the cell edges are 6.187, 13.408 and 3.152 Å and the angles 90.00°, 110.73° and 90.00°. Symmetry generates all atoms from Hf at (0.000, 0.173, 0.000), Sn at (0.000, 0.369, 0.500) and W at (0.199, 0.000, 0.795).

=====

# 10
Compound: HfSnW
Source: Alexandria
Functional: PBE
Structure: relaxed

The relative energy among the computed polymorphs comes out at 91 meV per atom. The calculation puts the density of states at the Fermi level at 5.05 states/eV per cell.

The structure belongs to space group C2/m (No. 12); the cell edges are 10.885, 3.439 and 7.741 Å and the angles 90.00°, 121.30° and 90.00°. Symmetry generates all atoms from Hf at (0.061, 0.000, 0.305), Sn at (0.163, 0.500, 0.680) and W at (0.120, 0.500, 0.021).

=====

# 11
Compound: Hf3SnW
Source: Alexandria
Functional: PBE
Structure: relaxed

The relative energy among the computed polymorphs comes out at 0 meV per atom. The calculation puts the density of states at the Fermi level at 16.11 states/eV per cell.

The structure belongs to space group C2/m (No. 12); the cell edges are 16.778, 3.426 and 7.337 Å and the angles 90.00°, 101.90° and 90.00°. Symmetry generates all atoms from Hf at (0.104, 0.000, 0.023), Hf at (0.105, 0.000, 0.572), Hf at (0.206, 0.500, 0.336), Sn at (0.015, 0.500, 0.257) and W at (0.202, 0.500, 0.859).

=====

# 12
Compound: HfSnW
Source: Alexandria
Functional: PBE
Structure: relaxed

The relative energy among the computed polymorphs comes out at 196 meV per atom. The calculation puts the density of states at the Fermi level at 3.42 states/eV per cell.

The structure belongs to space group P4/nmm (No. 129, origin choice 2); the cell edges are 3.565, 3.565 and 9.248 Å and the angles 90.00°, 90.00° and 90.00°. Symmetry generates all atoms from Hf at (0.250, 0.250, 0.089), Sn at (0.250, 0.250, 0.740) and W at (0.250, 0.250, 0.430).

=====

# 13
Compound: HfSn2W
Source: Alexandria
Functional: PBE
Structure: relaxed

The relative energy among the computed polymorphs comes out at 0 meV per atom. The calculation puts the density of states at the Fermi level at 7.43 states/eV per cell.

The structure belongs to space group Fm-3m (No. 225); the cell edges are 6.833, 6.833 and 6.833 Å and the angles 90.00°, 90.00° and 90.00°. Symmetry generates all atoms from Hf at (0.000, 0.000, 0.000), Sn at (0.250, 0.250, 0.250) and W at (0.000, 0.000, 0.500).

=====

# 14
Compound: Hf8Sn2W
Source: Alexandria
Functional: PBE
Structure: relaxed

Its total DFT energy (no corrections) is -0.339 Ha/atom. The calculation puts the density of states at the Fermi level at 20.97 states/eV per cell.

The structure belongs to space group C2/m (No. 12); the cell edges are 15.002, 4.818 and 7.359 Å and the angles 90.00°, 115.81° and 90.00°. Symmetry generates all atoms from Hf at (0.030, 0.000, 0.285), Hf at (0.088, 0.500, 0.927), Hf at (0.165, 0.500, 0.409), Hf at (0.167, 0.000, 0.728), Sn at (0.195, 0.000, 0.154) and W at (0.000, 0.500, 0.500).

=====

# 15
Compound: HfSnW
Source: Alexandria
Functional: PBE
Structure: relaxed

The relative energy among the computed polymorphs comes out at 70 meV per atom. The calculation puts the density of states at the Fermi level at 6.71 states/eV per cell.

The structure belongs to space group C2/m (No. 12); the cell edges are 20.793, 4.288 and 3.045 Å and the angles 90.00°, 93.08° and 90.00°. Symmetry generates all atoms from Hf at (0.149, 0.000, 0.008), Sn at (0.073, 0.500, 0.495) and W at (0.222, 0.500, 0.625).

=====

# 16
Compound: Hf2SnW
Source: Alexandria
Functional: PBE
Structure: relaxed

Its total DFT energy (no corrections) is -0.346 Ha/atom. The calculation puts the density of states at the Fermi level at 1.73 states/eV per cell.

The structure belongs to space group P4/mmm (No. 123); the cell edges are 3.534, 3.534 and 6.403 Å and the angles 90.00°, 90.00° and 90.00°. Symmetry generates all atoms from Hf at (0.000, 0.000, 0.234), Sn at (0.500, 0.500, 0.500) and W at (0.500, 0.500, 0.000).

=====

# 17
Compound: HfSnW
Source: Alexandria
Functional: PBE
Structure: relaxed

The relative energy among the computed polymorphs comes out at 36 meV per atom. The calculation puts the density of states at the Fermi level at 5.82 states/eV per cell.

The structure belongs to space group C2/m (No. 12); the cell edges are 10.846, 3.383 and 7.160 Å and the angles 90.00°, 113.45° and 90.00°. Symmetry generates all atoms from Hf at (0.025, 0.000, 0.244), Sn at (0.165, 0.500, 0.631) and W at (0.169, 0.500, 0.053).

=====

# 18
Compound: HfSnW
Source: Alexandria
Functional: PBE
Structure: relaxed

The relative energy among the computed polymorphs comes out at 62 meV per atom. The calculation puts the density of states at the Fermi level at 6.41 states/eV per cell.

The structure belongs to space group Cm (No. 8); the cell edges are 9.420, 4.555 and 5.820 Å and the angles 90.00°, 107.51° and 90.00°. Symmetry generates all atoms from Hf at (0.000, 0.000, 0.000), Hf at (0.221, 0.500, 0.380), Sn at (0.157, 0.500, 0.837), Sn at (0.390, 0.000, 0.238), W at (0.037, 0.000, 0.525) and W at (0.328, 0.000, 0.696).

=====

# 19
Compound: Hf3SnW
Source: Alexandria
Functional: PBE
Structure: relaxed

The relative energy among the computed polymorphs comes out at 1825 meV per atom. The calculation puts the density of states at the Fermi level at 2.94 states/eV per cell.

The structure belongs to space group Pm-3m (No. 221); the cell edges are 5.098, 5.098 and 5.098 Å and the angles 90.00°, 90.00° and 90.00°. Symmetry generates all atoms from Hf at (0.000, 0.000, 0.500), Sn at (0.000, 0.000, 0.000) and W at (0.500, 0.500, 0.500).

=====

# 20
Compound: HfSnW
Source: Alexandria
Functional: PBE
Structure: relaxed

The relative energy among the computed polymorphs comes out at 48 meV per atom. The calculation puts the density of states at the Fermi level at 7.42 states/eV per cell.

The structure belongs to space group C2/m (No. 12); the cell edges are 10.621, 3.317 and 7.752 Å and the angles 90.00°, 113.69° and 90.00°. Symmetry generates all atoms from Hf at (0.101, 0.000, 0.235), Sn at (0.142, 0.000, 0.650) and W at (0.141, 0.500, 0.949).